Record 1
Below is a relaxed B2PtRh crystal, with properties calculated at the PBE level.

abc: 4.738 4.738 5.818
angles: 65.97 65.97 90.00
Fractional positions:
B 0.129 0.625 0.250
B 0.875 0.871 0.750
B 0.375 0.379 0.750
B 0.621 0.125 0.250
Rh 0.250 0.750 0.500
Rh 0.500 0.500 0.000
Pt 0.750 0.250 0.500
Pt 0.000 0.000 0.000

VASP energy: -6.675 eV/atom
space-group type: I-42d
offset from the most stable computed form: 0 meV/atom
energy of formation: 12 meV per atom
density of states at the Fermi level: 2.10 states/eV/f.u.

Record 2
Below is a relaxed Zr2CdHg3 crystal, with properties calculated at the PBE level.

abc: 5.665 6.049 8.797
angles: 110.43 109.03 89.48
Fractional positions:
Hg 0.830 0.583 0.665
Hg 0.170 0.417 0.335
Hg 0.274 0.756 0.000
Hg 0.167 0.917 0.335
Hg 0.726 0.244 0.000
Hg 0.833 0.083 0.665
Cd 0.765 0.743 0.000
Cd 0.235 0.257 0.000
Zr 0.663 0.163 0.325
Zr 0.664 0.663 0.326
Zr 0.336 0.337 0.674
Zr 0.337 0.837 0.675

VASP energy: -3.209 eV/atom
space-group type: P-1
offset from the most stable computed form: 53 meV/atom
energy of formation: -56 meV per atom
density of states at the Fermi level: 3.56 states/eV/f.u.

Record 3
Below is a relaxed Mo2IrOs crystal, with properties calculated at the PBE level.

abc: 4.796 4.796 4.823
angles: 80.90 80.90 33.64
Fractional positions:
Mo 0.995 0.995 0.018
Mo 0.755 0.755 0.732
Ir 0.246 0.246 0.241
Os 0.504 0.504 0.509

VASP energy: -10.472 eV/atom
space-group type: Cm
offset from the most stable computed form: 99 meV/atom
energy of formation: -34 meV per atom
density of states at the Fermi level: 4.29 states/eV/f.u.

Record 4
Below is a relaxed Cs3AgBr2Cl6 crystal, with properties calculated at the PBE level.

abc: 7.475 7.475 8.727
angles: 90.00 90.00 120.00
Fractional positions:
Br 0.333 0.667 0.100
Br 0.667 0.333 0.900
Cl 0.690 0.845 0.334
Cl 0.155 0.310 0.334
Cl 0.155 0.845 0.334
Cl 0.310 0.155 0.666
Cl 0.845 0.690 0.666
Cl 0.845 0.155 0.666
Cs 0.000 0.000 0.000
Cs 0.333 0.667 0.658
Cs 0.667 0.333 0.342
Ag 0.000 0.000 0.500

VASP energy: -2.667 eV/atom
space-group type: P-3m1
formation energy (no corrections): -12.2 eV/f.u.